a | Computed, not measured: a relaxed structure of Zn2Ga6Ag at the PBE level of DFT.

```
data_Zn2Ga6Ag
_chemical_formula_sum 'Zn4 Ga12 Ag2'
_cell_length_a 8.2459
_cell_length_b 8.2459
_cell_length_c 5.0746
_cell_angle_alpha 84.02
_cell_angle_beta 84.02
_cell_angle_gamma 105.68
_symmetry_space_group_name_H-M 'P 1'
_symmetry_Int_Tables_number 1
loop_
_symmetry_equiv_pos_as_xyz
'x,y,z'
loop_
_atom_site_label
_atom_site_type_symbol
_atom_site_fract_x
_atom_site_fract_y
_atom_site_fract_z
Ga1 Ga 0.7755 0.3391 0.4677
Zn1 Zn 0.6271 0.6133 0.5794
Zn2 Zn 0.3867 0.3729 0.9206
Ga2 Ga 0.8980 0.5607 0.8297
Ga3 Ga 0.2245 0.6609 0.5323
Ga4 Ga 0.9500 0.7298 0.2777
Ga5 Ga 0.1020 0.4393 0.1703
Ga6 Ga 0.2702 0.0500 0.2223
Zn3 Zn 0.6133 0.6271 0.0795
Ga7 Ga 0.5607 0.8980 0.3297
Ga8 Ga 0.6609 0.2245 0.0323
Ga9 Ga 0.7298 0.9500 0.7777
Ga10 Ga 0.3391 0.7755 0.9677
Ag1 Ag 0.9315 0.0685 0.2500
Ag2 Ag 0.0685 0.9315 0.7500
Ga11 Ga 0.0500 0.2702 0.7223
Zn4 Zn 0.3729 0.3867 0.4206
Ga12 Ga 0.4393 0.1020 0.6703
```

Summary:
SG = C2/c (15)
Crystal system = monoclinic
V = 18.179 Å³ per atom
Magnetization = 0.0000 μB per atom

b | Computed, not measured: a relaxed structure of Zn2Ga6Ag at the PBE level of DFT.

```
data_Zn2Ga6Ag
_chemical_formula_sum 'Zn2 Ga6 Ag1'
_cell_length_a 6.3424
_cell_length_b 6.3424
_cell_length_c 6.0656
_cell_angle_alpha 58.48
_cell_angle_beta 58.48
_cell_angle_gamma 60.00
_symmetry_space_group_name_H-M 'P 1'
_symmetry_Int_Tables_number 1
loop_
_symmetry_equiv_pos_as_xyz
'x,y,z'
loop_
_atom_site_label
_atom_site_type_symbol
_atom_site_fract_x
_atom_site_fract_y
_atom_site_fract_z
Zn1 Zn 0.5190 0.5190 0.4431
Ga1 Ga 0.8593 0.3614 0.6697
Ag1 Ag 0.3358 0.3358 0.9926
Ga2 Ga 0.6817 0.9183 0.2202
Ga3 Ga 0.3614 0.1095 0.6697
Ga4 Ga 0.1095 0.8593 0.6697
Zn2 Zn 0.7008 0.7008 0.8975
Ga5 Ga 0.9183 0.1799 0.2202
Ga6 Ga 0.1799 0.6817 0.2202
```

Summary:
SG = R3 (146)
Crystal system = trigonal
V = 18.717 Å³ per atom
Magnetization = 0.0000 μB per atom

Which one is most stable, and which one is least stable? a is the most stable of them, while b is the least stable.

a | Computed, not measured: a relaxed structure of Zn4Ga2Ag at the PBE level of DFT.

```
data_Zn4Ga2Ag
_chemical_formula_sum 'Zn8 Ga4 Ag2'
_cell_length_a 5.2567
_cell_length_b 7.8735
_cell_length_c 7.0220
_cell_angle_alpha 116.38
_cell_angle_beta 90.57
_cell_angle_gamma 106.88
_symmetry_space_group_name_H-M 'P 1'
_symmetry_Int_Tables_number 1
loop_
_symmetry_equiv_pos_as_xyz
'x,y,z'
loop_
_atom_site_label
_atom_site_type_symbol
_atom_site_fract_x
_atom_site_fract_y
_atom_site_fract_z
Ag1 Ag 0.0119 0.0015 0.0928
Zn1 Zn 0.9699 0.8978 0.4086
Zn2 Zn 0.4833 0.7560 0.8516
Ga1 Ga 0.2072 0.3416 0.6842
Zn3 Zn 0.1084 0.6633 0.0503
Ag2 Ag 0.3957 0.7198 0.4484
Zn4 Zn 0.9192 0.3372 0.3906
Ga2 Ga 0.7004 0.3643 0.7508
Zn5 Zn 0.8015 0.0524 0.7700
Ga3 Ga 0.5129 0.0120 0.3003
Ga4 Ga 0.7090 0.4904 0.2030
Zn6 Zn 0.3190 0.0566 0.7886
Zn7 Zn 0.9245 0.6955 0.6727
Zn8 Zn 0.1870 0.3613 0.0880
```

Summary:
SG = P1 (1)
Crystal system = triclinic
V = 17.561 Å³ per atom
Magnetization = 0.0000 μB per atom

b | Computed, not measured: a relaxed structure of Zn4Ga2Ag at the PBE level of DFT.

```
data_Zn4Ga2Ag
_chemical_formula_sum 'Zn4 Ga2 Ag1'
_cell_length_a 4.9927
_cell_length_b 4.9927
_cell_length_c 7.2517
_cell_angle_alpha 110.14
_cell_angle_beta 110.14
_cell_angle_gamma 90.00
_symmetry_space_group_name_H-M 'P 1'
_symmetry_Int_Tables_number 1
loop_
_symmetry_equiv_pos_as_xyz
'x,y,z'
loop_
_atom_site_label
_atom_site_type_symbol
_atom_site_fract_x
_atom_site_fract_y
_atom_site_fract_z
Ga1 Ga 0.3951 0.3951 0.7901
Zn1 Zn 0.8010 0.8010 0.6020
Zn2 Zn 0.0000 0.5000 0.0000
Zn3 Zn 0.1990 0.1990 0.3980
Ag1 Ag 0.0000 0.0000 0.0000
Zn4 Zn 0.5000 0.0000 0.0000
Ga2 Ga 0.6049 0.6049 0.2099
```

Summary:
SG = I4/mmm (139)
Crystal system = tetragonal
V = 22.557 Å³ per atom
Magnetization = 0.0000 μB per atom

Which one is most stable, and which one is least stable? a is the most stable of them, while b is the least stable.

a | Computed, not measured: a relaxed structure of Zn2Ga3Ag3 at the PBE level of DFT.

```
data_Zn2Ga3Ag3
_chemical_formula_sum 'Zn2 Ga3 Ag3'
_cell_length_a 4.1343
_cell_length_b 4.0593
_cell_length_c 8.8295
_cell_angle_alpha 74.54
_cell_angle_beta 73.50
_cell_angle_gamma 84.75
_symmetry_space_group_name_H-M 'P 1'
_symmetry_Int_Tables_number 1
loop_
_symmetry_equiv_pos_as_xyz
'x,y,z'
loop_
_atom_site_label
_atom_site_type_symbol
_atom_site_fract_x
_atom_site_fract_y
_atom_site_fract_z
Ga1 Ga 0.3727 0.8722 0.2543
Ag1 Ag 0.1297 0.6300 0.7333
Zn1 Zn 0.7515 0.7507 0.5034
Zn2 Zn 0.2485 0.2493 0.4966
Ga2 Ga 0.6273 0.1278 0.7457
Ag2 Ag 0.0000 0.0000 0.0000
Ag3 Ag 0.8703 0.3700 0.2667
Ga3 Ga 0.5000 0.5000 0.0000
```

Summary:
SG = P-1 (2)
Crystal system = triclinic
V = 17.114 Å³ per atom
Magnetization = 0.0000 μB per atom

b | Computed, not measured: a relaxed structure of Zn2Ga3Ag3 at the PBE level of DFT.

```
data_Zn2Ga3Ag3
_chemical_formula_sum 'Zn2 Ga3 Ag3'
_cell_length_a 4.1343
_cell_length_b 4.0291
_cell_length_c 8.1806
_cell_angle_alpha 90.00
_cell_angle_beta 90.00
_cell_angle_gamma 90.00
_symmetry_space_group_name_H-M 'P 1'
_symmetry_Int_Tables_number 1
loop_
_symmetry_equiv_pos_as_xyz
'x,y,z'
loop_
_atom_site_label
_atom_site_type_symbol
_atom_site_fract_x
_atom_site_fract_y
_atom_site_fract_z
Zn1 Zn 0.0000 0.0000 0.2491
Zn2 Zn 0.0000 0.0000 0.7509
Ga1 Ga 0.5000 0.0000 0.0000
Ag1 Ag 0.0000 0.5000 0.0000
Ga2 Ga 0.5000 0.5000 0.2492
Ag2 Ag 0.5000 0.0000 0.5000
Ga3 Ga 0.5000 0.5000 0.7508
Ag3 Ag 0.0000 0.5000 0.5000
```

Summary:
SG = Pmmm (47)
Crystal system = orthorhombic
V = 17.033 Å³ per atom
Magnetization = 0.0000 μB per atom

Which one is most stable, and which one is least stable? a is the most stable of them, while b is the least stable.